# Be2TlSe (PBE, relaxed)
data_Be2TlSe
_cell_length_a 4.834
_cell_length_b 3.428
_cell_length_c 5.100
_cell_angle_alpha 90.00
_cell_angle_beta 90.15
_cell_angle_gamma 90.00
_space_group_name_H-M_alt 'P 1 2/m 1'
_space_group_IT_number 10
loop_
_space_group_symop_operation_xyz
'x,y,z'
'-x,-y,-z'
'-x,y,-z'
'x,-y,z'
loop_
_atom_site_label
_atom_site_fract_x
_atom_site_fract_y
_atom_site_fract_z
_atom_site_occupancy
Be1 0.007 0.000 0.204 1
Tl1 0.500 0.500 0.000 1
Se1 0.000 0.500 0.500 1
# calculated volume	21.1	Å³/atom
# DOS(E_F)	1.012	states/eV per cell
# E above lowest polymorph	180	meV/atom



# LaScAl2Ru (PBE, relaxed)
data_LaScAl2Ru
_cell_length_a 5.154
_cell_length_b 5.154
_cell_length_c 4.624
_cell_angle_alpha 90.00
_cell_angle_beta 90.00
_cell_angle_gamma 90.00
_space_group_name_H-M_alt 'P 4/m m m'
_space_group_IT_number 123
_space_group_name_Hall '-P 4 2'
loop_
_atom_site_label
_atom_site_fract_x
_atom_site_fract_y
_atom_site_fract_z
_atom_site_occupancy
La1 0.000 0.000 0.000 1
Sc1 0.500 0.500 0.500 1
Al1 0.000 0.500 0.500 1
Ru1 0.500 0.500 0.000 1
# calculated volume	24.6	Å³/atom
# DOS(E_F)	4.021	states/eV per cell
# E above lowest polymorph	761	meV/atom
# E_form	348	meV/atom



# CaSmBi2 (PBE, relaxed)
data_CaSmBi2
_cell_length_a 7.937
_cell_length_b 7.937
_cell_length_c 7.937
_cell_angle_alpha 90.00
_cell_angle_beta 90.00
_cell_angle_gamma 90.00
_space_group_name_H-M_alt 'F m -3 m'
_space_group_IT_number 225
_space_group_name_Hall '-F 4 2 3'
loop_
_atom_site_label
_atom_site_fract_x
_atom_site_fract_y
_atom_site_fract_z
_atom_site_occupancy
Ca1 0.000 0.000 0.000 1
Sm1 0.000 0.000 0.500 1
Bi1 0.250 0.250 0.250 1
# calculated volume	31.3	Å³/atom
# DOS(E_F)	7.435	states/eV per cell
# E above lowest polymorph	87	meV/atom
# E_form	-671	meV/atom



# YSc2Mn (PBE, relaxed)
data_YSc2Mn
_cell_length_a 7.166
_cell_length_b 7.166
_cell_length_c 7.166
_cell_angle_alpha 90.00
_cell_angle_beta 90.00
_cell_angle_gamma 90.00
_space_group_name_H-M_alt 'F -4 3 m'
_space_group_IT_number 216
_space_group_name_Hall 'F -4 2 3'
loop_
_atom_site_label
_atom_site_fract_x
_atom_site_fract_y
_atom_site_fract_z
_atom_site_occupancy
Y1 0.000 0.000 0.000 1
Sc1 0.000 0.000 0.500 1
Sc2 0.250 0.250 0.750 1
Mn1 0.250 0.250 0.250 1
# calculated volume	23.0	Å³/atom
# DOS(E_F)	27.769	states/eV per cell
# E above lowest polymorph	131	meV/atom
# E_form	218	meV/atom



# Al2Cu2Pb (PBE, relaxed)
data_Al2Cu2Pb
_cell_length_a 7.771
_cell_length_b 7.771
_cell_length_c 2.871
_cell_angle_alpha 90.00
_cell_angle_beta 90.00
_cell_angle_gamma 90.00
_space_group_name_H-M_alt 'P 4/m b m'
_space_group_IT_number 127
_space_group_name_Hall '-P 4 2ab'
loop_
_atom_site_label
_atom_site_fract_x
_atom_site_fract_y
_atom_site_fract_z
_atom_site_occupancy
Al1 0.129 0.371 0.000 1
Cu1 0.161 0.661 0.500 1
Pb1 0.000 0.000 0.500 1
# calculated volume	17.3	Å³/atom
# DOS(E_F)	4.228	states/eV per cell
# E above lowest polymorph	84	meV/atom
# E_form	109	meV/atom



# Ta2MnRu4 (PBE, relaxed)
data_Ta2MnRu4
_cell_length_a 6.012
_cell_length_b 6.012
_cell_length_c 6.287
_cell_angle_alpha 90.00
_cell_angle_beta 90.00
_cell_angle_gamma 90.00
_space_group_name_H-M_alt 'I 4/m m m'
_space_group_IT_number 139
_space_group_name_Hall '-I 4 2'
loop_
_atom_site_label
_atom_site_fract_x
_atom_site_fract_y
_atom_site_fract_z
_atom_site_occupancy
Ta1 0.000 0.500 0.000 1
Mn1 0.000 0.000 0.000 1
Ru1 0.250 0.250 0.250 1
# calculated volume	16.2	Å³/atom
# DOS(E_F)	12.554	states/eV per cell
# E_form	64	meV/atom



# AcErCdAu (PBE, relaxed)
data_AcErCdAu
_cell_length_a 7.656
_cell_length_b 7.656
_cell_length_c 7.656
_cell_angle_alpha 90.00
_cell_angle_beta 90.00
_cell_angle_gamma 90.00
_space_group_name_H-M_alt 'F -4 3 m'
_space_group_IT_number 216
_space_group_name_Hall 'F -4 2 3'
loop_
_atom_site_label
_atom_site_fract_x
_atom_site_fract_y
_atom_site_fract_z
_atom_site_occupancy
Ac1 0.000 0.000 0.000 1
Er1 0.000 0.000 0.500 1
Cd1 0.250 0.250 0.250 1
Au1 0.250 0.250 0.750 1
# calculated volume	28.0	Å³/atom
# DOS(E_F)	7.216	states/eV per cell
# E_form	-475	meV/atom



# CaMo2Ru (PBE, relaxed)
data_CaMo2Ru
_cell_length_a 3.400
_cell_length_b 3.400
_cell_length_c 7.011
_cell_angle_alpha 90.00
_cell_angle_beta 90.00
_cell_angle_gamma 90.00
_space_group_name_H-M_alt 'P 4/m m m'
_space_group_IT_number 123
_space_group_name_Hall '-P 4 2'
loop_
_atom_site_label
_atom_site_fract_x
_atom_site_fract_y
_atom_site_fract_z
_atom_site_occupancy
Ca1 0.000 0.000 0.000 1
Mo1 0.500 0.500 0.334 1
Ru1 0.000 0.000 0.500 1
# calculated volume	20.3	Å³/atom
# DOS(E_F)	7.022	states/eV per cell
# E above lowest polymorph	166	meV/atom
# E_form	577	meV/atom



# ScGeSeS (PBE, relaxed)
data_ScGeSeS
_cell_length_a 4.062
_cell_length_b 3.858
_cell_length_c 9.998
_cell_angle_alpha 90.00
_cell_angle_beta 90.00
_cell_angle_gamma 90.00
_space_group_name_H-M_alt 'A m m 2'
_space_group_IT_number 38
loop_
_space_group_symop_operation_xyz
'x,y,z'
'-x,-y,z'
'-x,y,z'
'x,-y,z'
'x,y+1/2,z+1/2'
'-x,-y+1/2,z+1/2'
'-x,y+1/2,z+1/2'
'x,-y+1/2,z+1/2'
loop_
_atom_site_label
_atom_site_fract_x
_atom_site_fract_y
_atom_site_fract_z
_atom_site_occupancy
Sc1 0.000 0.000 0.000 1
Ge1 0.500 0.000 0.194 1
Se1 0.000 0.000 0.704 1
S1 0.500 0.000 0.426 1
# calculated volume	19.6	Å³/atom
# DOS(E_F)	3.263	states/eV per cell
# E above lowest polymorph	80	meV/atom



Question: Among the records above, which one has the highest calculated volume?
Answer: CaSmBi2